# HfCd2Hg

A relaxed HfCd2Hg crystal (PBE-GGA, the Alexandria database).

Formation enthalpy at 0 K (eV/atom): 0.05
Space-group type: P2/m, No. 10
Size of the total moment (μB per atom): 0.000
Density of states at the Fermi level (states/eV/atom): 0.79

Structure (POSCAR):
```
HfCd2Hg
1.0
3.088 0.000 0.000
0.000 2.987 0.965
0.000 6.155 12.045
Hf Cd Hg
1 2 1
direct
0.500 0.500 0.750 Hf
0.000 0.700 0.521 Cd
0.000 0.300 0.979 Cd
0.500 0.500 0.250 Hg
```